Density functional theory data (PBE+U) for a relaxed NiPCO2 crystal.

Structure (POSCAR):
```
NiPCO2
1.0
3.464 0.000 0.000
0.000 3.464 0.000
0.000 0.000 4.809
Ni C O P
1 1 2 1
Direct
0.000 0.000 0.000
0.500 0.500 0.500
0.000 0.500 0.000
0.500 0.000 0.000
0.000 0.000 0.500
```

Properties
The density is 3.85 g cm⁻³. As for the space group: P4/mmm. For the total moment, the calculation gives 0.106 μB per atom. The energy is -0.1512 hartree per atom.